1.
# MgScGaPb PBE-GGA relaxed
# - energy relative to the elements (eV per atom) = -0.15
# - mass density (Mg/m³) = 6.38
data_MgScGaPb
_space_group_name_H-M_alt 'F -4 3 m'
_space_group_IT_number 216
_space_group_name_Hall 'F -4 2 3'
_cell_length_a 7.117
_cell_length_b 7.117
_cell_length_c 7.117
_cell_angle_alpha 90.00
_cell_angle_beta 90.00
_cell_angle_gamma 90.00
loop_
_atom_site_label
_atom_site_type_symbol
_atom_site_fract_x
_atom_site_fract_y
_atom_site_fract_z
Mg1 Mg 0.000 0.000 0.000
Sc1 Sc 0.000 0.000 0.500
Ga1 Ga 0.250 0.250 0.250
Pb1 Pb 0.250 0.250 0.750

---

2.
# LiCr2Te4 PBE-GGA relaxed
# - uncorrected formation energy (eV per formula unit) = -2.7
# - mass density (Mg/m³) = 5.88
data_LiCr2Te4
_space_group_name_H-M_alt 'C 1 2/m 1'
_space_group_IT_number 12
_cell_length_a 14.645
_cell_length_b 3.954
_cell_length_c 6.860
_cell_angle_alpha 90.00
_cell_angle_beta 117.89
_cell_angle_gamma 90.00
loop_
_space_group_symop_operation_xyz
'x,y,z'
'-x,-y,-z'
'-x,y,-z'
'x,-y,z'
'x+1/2,y+1/2,z'
'-x+1/2,-y+1/2,-z'
'-x+1/2,y+1/2,-z'
'x+1/2,-y+1/2,z'
loop_
_atom_site_label
_atom_site_type_symbol
_atom_site_fract_x
_atom_site_fract_y
_atom_site_fract_z
Li1 Li 0.000 0.000 0.000
Cr1 Cr 0.250 0.000 0.257
Te1 Te 0.133 0.000 0.470
Te2 Te 0.136 0.500 0.966

---

3.
# Ag2SbRu PBE-GGA relaxed
# - uncorrected formation energy (eV per formula unit) = 2.0
# - mass density (Mg/m³) = 9.38
data_Ag2SbRu
_space_group_name_H-M_alt 'P 4/m m m'
_space_group_IT_number 123
_space_group_name_Hall '-P 4 2'
_cell_length_a 2.960
_cell_length_b 2.960
_cell_length_c 8.860
_cell_angle_alpha 90.00
_cell_angle_beta 90.00
_cell_angle_gamma 90.00
loop_
_atom_site_label
_atom_site_type_symbol
_atom_site_fract_x
_atom_site_fract_y
_atom_site_fract_z
Ag1 Ag 0.000 0.000 0.222
Sb1 Sb 0.500 0.500 0.500
Ru1 Ru 0.500 0.500 0.000

---

Number 1: DFT total energy -61.10 eV/cell. Number 2: DFT total energy -72.92 eV/cell. Number 3: DFT total energy -17.07 eV/cell.